# 1
Entry from Alexandria via LeMat-Bulk: a relaxed structure of Ce6IrAu3 (GGA-PBE).

Properties
total DFT energy (no corrections)	-58.92	eV/f.u.
ΔE_f	-0.46	eV per atom
SG	P2_1/c (14)
D(E_F)	29.96	states/eV/f.u.

Structure (POSCAR):
```
Ce6IrAu3
1.0
5.382 0.000 -0.213
0.000 8.262 0.000
-0.382 0.000 11.742
Ce Ir Au
12 2 6
direct
0.954 0.686 0.929
0.411 0.515 0.741
0.983 0.622 0.596
0.454 0.814 0.429
0.089 0.015 0.759
0.589 0.485 0.259
0.017 0.378 0.404
0.546 0.186 0.571
0.911 0.985 0.241
0.517 0.122 0.904
0.483 0.878 0.096
0.046 0.314 0.071
0.500 0.500 0.500
0.000 0.000 0.000
0.916 0.356 0.793
0.584 0.856 0.707
0.500 0.500 0.000
0.416 0.144 0.293
0.084 0.644 0.207
0.000 0.000 0.500
```


# 2
Entry from Alexandria via LeMat-Bulk: a relaxed structure of Ce5IrAu (GGA-PBE).

Properties
total DFT energy (no corrections)	-41.82	eV/f.u.
ΔE_f	0.00	eV per atom
SG	Imm2 (44)
D(E_F)	15.86	states/eV/f.u.

Structure (POSCAR):
```
Ce5IrAu
1.0
-5.326 0.185 7.935
-4.398 -3.870 -2.862
6.204 -0.387 -1.584
Au Ce Ir
1 5 1
direct
0.699 0.500 0.000
0.239 0.776 0.000
0.005 0.500 0.000
0.239 0.224 0.000
0.671 0.754 0.508
0.163 0.246 0.492
0.514 0.000 0.000
```


Q: Which of these has the highest D(E_F)?
A: Ce6IrAu3